Compound: Ba2MgPtSe6
Source: the Open Quantum Materials Database
Functional: GGA-PBE
Structure: optimized geometry

Output
Calculated total energy: -41.59 eV for the cell shown
SG: I4/m (87)

Cell lengths 7.2596, 7.2596, 7.2596 Å; angles 120.03, 120.03, 89.95 degrees
Fractional coordinates of all 10 atoms:
Ba  0.2500  0.7500  0.5000
Ba  0.7500  0.2500  0.5000
Mg  0.0000  0.0000  0.0000
Pt  0.5000  0.5000  0.0000
Se  0.2492  0.2633  0.5125
Se  0.2563  0.2563  0.0000
Se  0.2633  0.7508  0.0141
Se  0.7367  0.2492  0.9859
Se  0.7437  0.7437  0.0000
Se  0.7508  0.7367  0.4875

---

Compound: HoSb2
Source: the Open Quantum Materials Database
Functional: GGA-PBE
Structure: optimized geometry

Output
Calculated total energy: -26.22 eV for the cell shown
SG: Fd-3m (227)

Cell lengths 6.2411, 6.2411, 6.2411 Å; angles 60.00, 60.00, 60.00 degrees
Fractional coordinates of all 6 atoms:
Ho  0.1250  0.1250  0.1250
Ho  0.8750  0.8750  0.8750
Sb  0.0000  0.5000  0.5000
Sb  0.5000  0.0000  0.5000
Sb  0.5000  0.5000  0.0000
Sb  0.5000  0.5000  0.5000

---

Compound: TaFeOs2
Source: the Open Quantum Materials Database
Functional: GGA-PBE
Structure: optimized geometry

Output
DFT formation energy: 0.156 eV/atom
SG: F-43m (216)

Cell lengths 4.3711, 4.3711, 4.3711 Å; angles 60.00, 60.00, 60.00 degrees
Fractional coordinates of all 4 atoms:
Ta  0.0000  0.0000  0.0000
Fe  0.2500  0.2500  0.2500
Os  0.5000  0.5000  0.5000
Os  0.7500  0.7500  0.7500

---

Compound: Pr3CdIn2Pt2Au
Source: the Open Quantum Materials Database
Functional: GGA-PBE
Structure: optimized geometry

Output
Calculated total energy: -43.62 eV for the cell shown
SG: Amm2 (38)

Cell lengths 4.1015, 7.8183, 7.8183 Å; angles 119.59, 90.00, 90.00 degrees
Fractional coordinates of all 9 atoms:
Pr  0.0000  0.0000  0.0000
Pr  0.0000  0.4159  0.8268
Pr  0.0000  0.8268  0.4159
Cd  0.5000  0.6747  0.6747
In  0.5000  0.1578  0.4142
In  0.5000  0.4142  0.1578
Pt  0.5000  0.0865  0.7496
Pt  0.5000  0.7496  0.0865
Au  0.0000  0.4140  0.4140

---

Compound: Pm2Pb
Source: the Open Quantum Materials Database
Functional: GGA-PBE
Structure: optimized geometry

Output
Energy above the lowest structure with this stoichiometry: 0.00 kcal/mol of atoms
SG: Fd-3m (227)

Cell lengths 6.4222, 6.4222, 6.4222 Å; angles 60.00, 60.00, 60.00 degrees
Fractional coordinates of all 6 atoms:
Pm  0.0000  0.0000  0.0000
Pm  0.0000  0.0000  0.5000
Pm  0.0000  0.5000  0.0000
Pm  0.5000  0.0000  0.0000
Pb  0.3750  0.3750  0.3750
Pb  0.6250  0.6250  0.6250

---

Compound: MgTaSbTe
Source: the Open Quantum Materials Database
Functional: GGA-PBE
Structure: optimized geometry

Output
Energy above the lowest structure with this stoichiometry: 10.66 kcal/mol of atoms
SG: F-43m (216)

Cell lengths 5.0571, 5.0571, 5.0571 Å; angles 60.00, 60.00, 60.00 degrees
Fractional coordinates of all 4 atoms:
Mg  0.0000  0.0000  0.0000
Ta  0.7500  0.7500  0.7500
Sb  0.5000  0.5000  0.5000
Te  0.2500  0.2500  0.2500